Hf5ZrN3, optimized geometry, DFT GGA-PBE; calculated volume = 282 Å³/cell; raw formation energy = -1.244 eV per atom
1.0
5.0184 -3.7765 0.0000
5.0184 3.7765 0.0000
-3.6586 0.0000 7.4371
Hf Zr N
10 2 6
Cartesian
-0.6441 0.0000 2.7020 Hf
2.1344 1.5421 2.4735 Hf
5.0184 2.2327 0.0000 Hf
-0.8863 0.0000 7.2084 Hf
4.2437 1.5421 4.9636 Hf
2.1344 -1.5421 2.4735 Hf
7.2644 0.0000 0.2287 Hf
5.0184 -2.2327 0.0000 Hf
4.2437 -1.5421 4.9636 Hf
7.0221 0.0000 4.7351 Hf
1.4725 0.0000 5.1739 Zr
4.9055 0.0000 2.2632 Zr
-0.8018 0.0000 4.9548 N
1.0676 0.0000 1.2385 N
5.0184 0.0000 0.0000 N
3.1890 0.0000 3.7186 N
5.3104 0.0000 6.1986 N
7.1799 0.0000 2.4823 N

---

Be2CrIr, optimized geometry, DFT GGA-PBE; ΔH_f (0 K) = -0.268 eV/atom; calculated volume = 84 Å³/cell
1.0
3.6184 0.0000 0.0000
0.0000 2.7439 0.0000
0.0000 0.0000 8.4431
Be Cr Ir
4 2 2
Cartesian
0.0000 0.0000 0.0000 Be
0.0000 1.3719 4.2215 Be
1.8092 0.0000 1.1813 Be
1.8092 1.3719 5.4028 Be
0.0000 0.0000 6.1230 Cr
0.0000 1.3719 1.9015 Cr
1.8092 0.0000 3.5008 Ir
1.8092 1.3719 7.7224 Ir

---

NdTh3Zn4, optimized geometry, DFT GGA-PBE; ΔH_f (0 K) = -0.208 eV/atom; calculated volume = 198 Å³/cell
1.0
3.6603 0.0000 0.0000
0.0000 5.1959 0.0000
0.0000 0.0000 10.3931
Nd Th Zn
1 3 4
Cartesian
0.0000 0.0000 0.0000 Nd
0.0000 0.0000 5.1966 Th
0.0000 2.5980 2.6100 Th
0.0000 2.5980 7.7831 Th
1.8301 0.0000 2.5796 Zn
1.8301 0.0000 7.8136 Zn
1.8301 2.5980 0.0000 Zn
1.8301 2.5980 5.1966 Zn

---

PtBr3F, optimized geometry, DFT GGA-PBE; calculated volume = 133 Å³/cell; raw formation energy = 0.140 eV per atom
1.0
5.0988 0.0000 0.0000
0.0000 5.0988 0.0000
0.0000 0.0000 5.0988
Pt Br F
1 3 1
Cartesian
0.0000 0.0000 0.0000 Pt
0.0000 0.0000 2.5494 Br
0.0000 2.5494 0.0000 Br
2.5494 0.0000 0.0000 Br
2.5494 2.5494 2.5494 F

---

Ce2UPt, optimized geometry, DFT GGA-PBE; ΔH_f (0 K) = -0.063 eV/atom; calculated volume = 271 Å³/cell
1.0
4.0051 0.0000 0.0000
-2.0026 3.4685 0.0000
0.0000 0.0000 19.5117
Ce U Pt
6 3 3
Cartesian
0.0000 0.0000 4.7979 Ce
0.0000 0.0000 14.7138 Ce
0.0000 2.3124 8.2099 Ce
0.0000 2.3124 17.8057 Ce
2.0026 1.1562 1.7060 Ce
2.0026 1.1562 11.3018 Ce
0.0000 0.0000 9.7559 U
0.0000 2.3124 3.2520 U
2.0026 1.1562 16.2598 U
0.0000 0.0000 0.0000 Pt
0.0000 2.3124 13.0078 Pt
2.0026 1.1562 6.5039 Pt

---

V4SiB2, optimized geometry, DFT GGA-PBE; calculated volume = 83 Å³/cell; raw formation energy = -0.237 eV per atom
1.0
1.7397 1.0044 7.8904
-1.7397 1.0044 7.8904
0.0000 -2.0088 7.8904
V Si B
4 1 2
Cartesian
0.0000 0.0000 2.5952 V
0.0000 0.0000 7.0876 V
0.0000 0.0000 16.5837 V
0.0000 0.0000 21.0761 V
0.0000 0.0000 11.8356 Si
0.0000 0.0000 9.5120 B
0.0000 0.0000 14.1593 B

---

LaSmTlPt, optimized geometry, DFT GGA-PBE; ΔH_f (0 K) = -0.622 eV/atom; calculated volume = 430 Å³/cell
1.0
7.5496 0.0000 0.0000
0.0000 7.5496 0.0000
0.0000 0.0000 7.5496
La Sm Tl Pt
4 4 4 4
Cartesian
0.0000 0.0000 0.0000 La
0.0000 3.7748 3.7748 La
3.7748 0.0000 3.7748 La
3.7748 3.7748 0.0000 La
0.0000 0.0000 3.7748 Sm
0.0000 3.7748 0.0000 Sm
3.7748 0.0000 0.0000 Sm
3.7748 3.7748 3.7748 Sm
1.8874 1.8874 1.8874 Tl
1.8874 5.6622 5.6622 Tl
5.6622 1.8874 5.6622 Tl
5.6622 5.6622 1.8874 Tl
1.8874 1.8874 5.6622 Pt
1.8874 5.6622 1.8874 Pt
5.6622 1.8874 1.8874 Pt
5.6622 5.6622 5.6622 Pt

---

CoHIrRh2, optimized geometry, DFT GGA-PBE; E = -6.701 eV/atom; calculated volume = 58 Å³/cell
1.0
3.8554 0.0000 0.0000
0.0000 3.8554 0.0000
0.0000 0.0000 3.8781
Co H Ir Rh
1 1 1 2
Cartesian
0.0000 0.0000 0.0000 Co
1.9277 1.9277 1.9391 H
1.9277 1.9277 0.0000 Ir
0.0000 1.9277 1.9391 Rh
1.9277 0.0000 1.9391 Rh